[1]
The following is a DFT calculation (PBE) of crystalline LiZrTlIr at its relaxed geometry.

Lattice parameters (Å, degrees): 6.5816 6.5816 6.5816 90.00 90.00 90.00
Space group F-43m (No. 216)
Inequivalent atoms, fractional coordinates:
Li1 0.0000 0.0000 0.0000 (multiplicity 4)
Zr1 0.2500 0.2500 0.7500 (multiplicity 4)
Tl1 0.2500 0.2500 0.2500 (multiplicity 4)
Ir1 0.0000 0.0000 0.5000 (multiplicity 4)

Energy of formation (eV/f.u.): -1.3

[2]
The following is a DFT calculation (PBE) of crystalline HoTmZn6 at its relaxed geometry.

Lattice parameters (Å, degrees): 4.3908 6.5547 10.2222 90.00 90.00 90.00
Space group Amm2 (No. 38)
Inequivalent atoms, fractional coordinates:
Ho1 0.0000 0.0000 0.0000 (multiplicity 2)
Tm1 0.5000 0.0000 0.7137 (multiplicity 2)
Zn1 0.0000 0.0000 0.5205 (multiplicity 2)
Zn2 0.0000 0.2064 0.2694 (multiplicity 4)
Zn3 0.5000 0.0000 0.1948 (multiplicity 2)
Zn4 0.5000 0.2053 0.4440 (multiplicity 4)

Energy of formation (eV/f.u.): -2.5

[3]
The following is a DFT calculation (PBE) of crystalline ZrTi2Te2 at its relaxed geometry.

Lattice parameters (Å, degrees): 7.9314 17.4186 4.8045 90.00 127.12 90.00
Space group C2/c (No. 15)
Inequivalent atoms, fractional coordinates:
Zr1 0.0000 0.0749 0.2500 (multiplicity 4)
Ti1 0.2141 0.4485 0.9602 (multiplicity 8)
Te1 0.0000 0.1770 0.7500 (multiplicity 4)
Te2 0.0000 0.4002 0.2500 (multiplicity 4)

Raw formation energy (eV per atom): -0.50

[4]
The following is a DFT calculation (PBE) of crystalline AcMgSn2Pd2 at its relaxed geometry.

Lattice parameters (Å, degrees): 4.6230 4.6230 7.6468 90.00 90.00 120.00
Space group P-3m1 (No. 164)
Inequivalent atoms, fractional coordinates:
Ac1 0.0000 0.0000 0.0000 (multiplicity 1)
Mg1 0.0000 0.0000 0.5000 (multiplicity 1)
Sn1 0.3333 0.6667 0.2820 (multiplicity 2)
Pd1 0.3333 0.6667 0.6516 (multiplicity 2)

Energy of formation (eV/f.u.): -4.4

[5]
The following is a DFT calculation (PBE) of crystalline TbMgPt at its relaxed geometry.

Lattice parameters (Å, degrees): 4.5568 4.5568 3.6664 90.00 90.00 120.00
Space group P-6m2 (No. 187)
Inequivalent atoms, fractional coordinates:
Tb1 0.0000 0.0000 0.0000 (multiplicity 1)
Mg1 0.6667 0.3333 0.5000 (multiplicity 1)
Pt1 0.3333 0.6667 0.5000 (multiplicity 1)

Energy of formation (eV/f.u.): -2.1

[6]
The following is a DFT calculation (PBE) of crystalline TlRe2Se at its relaxed geometry.

Lattice parameters (Å, degrees): 3.0205 3.0205 26.0775 90.00 90.00 120.00
Space group R-3m (No. 166, hexagonal axes)
Inequivalent atoms, fractional coordinates:
Tl1 0.0000 0.0000 0.0000 (multiplicity 3)
Re1 0.0000 0.0000 0.2394 (multiplicity 6)
Se1 0.0000 0.0000 0.5000 (multiplicity 3)

Raw formation energy (eV per atom): 0.87

[7]
The following is a DFT calculation (PBE) of crystalline Ho3Er8Th at its relaxed geometry.

Lattice parameters (Å, degrees): 7.6296 7.6296 15.3133 90.00 90.00 90.00
Space group I4/mmm (No. 139)
Inequivalent atoms, fractional coordinates:
Ho1 0.0000 0.0000 0.0000 (multiplicity 2)
Ho2 0.0000 0.5000 0.2500 (multiplicity 4)
Er1 0.2499 0.2499 0.1249 (multiplicity 16)
Th1 0.0000 0.0000 0.5000 (multiplicity 2)

Energy of formation (eV/f.u.): 9.3

[8]
The following is a DFT calculation (PBE) of crystalline LiIrRu at its relaxed geometry.

Lattice parameters (Å, degrees): 8.3387 3.9465 5.1316 90.00 101.85 90.00
Space group Cm (No. 8)
Inequivalent atoms, fractional coordinates:
Li1 0.0000 0.0000 0.0000 (multiplicity 2)
Li2 0.1430 0.5000 0.8875 (multiplicity 2)
Ir1 0.3058 0.0000 0.7040 (multiplicity 2)
Ir2 0.4818 0.5000 0.4917 (multiplicity 2)
Ru1 0.1673 0.5000 0.4018 (multiplicity 2)
Ru2 0.3407 0.0000 0.1930 (multiplicity 2)

Energy of formation (eV/f.u.): 0.1

DOS at the Fermi energy? In order: 0.989, 0.406, 0.978, 0.580, 1.015, 0.847, 1.291, 0.863 states/eV/atom.